DFT (meta-GGA SCAN) results for Mn3SiNi at its PBEsol-relaxed geometry.

Summary:
**Total magnetic moment**: 10.6 Bohr magnetons per cell
**Calculated volume**: 15.10 A^3/atom
**Space-group type**: No. 221
**Offset from the most stable computed form**: 915 meV per atom
**Raw formation energy**: 0.641 eV/atom

```
data_Mn3SiNi
_chemical_formula_sum 'Mn3 Si1 Ni1'
_cell_length_a 4.226
_cell_length_b 4.226
_cell_length_c 4.226
_cell_angle_alpha 90.00
_cell_angle_beta 90.00
_cell_angle_gamma 90.00
_space_group_name_H-M_alt 'P 1'
_space_group_IT_number 1
loop_
_space_group_symop_operation_xyz
'x,y,z'
loop_
_atom_site_label
_atom_site_type_symbol
_atom_site_fract_x
_atom_site_fract_y
_atom_site_fract_z
Si1 Si 0.000 0.000 0.000
Mn1 Mn 0.000 0.000 0.500
Mn2 Mn 0.500 0.000 0.000
Mn3 Mn 0.000 0.500 0.000
Ni1 Ni 0.500 0.500 0.500
```